# 1
Pr2InSe4 | PBE-GGA | relaxed

The space group is P2_1/m (No. 11) and the conventional cell measures 7.248, 7.473 and 8.082 Å, with angles of 90.00, 102.95 and 90.00 degrees. The distinct sites, in fractional coordinates, are Pr at (0.183, 0.250, 0.042), Pr at (0.202, 0.250, 0.539), In at (0.266, 0.750, 0.850), Se at (0.015, 0.512, 0.261), Se at (0.480, 0.250, 0.856) and Se at (0.499, 0.750, 0.646).

For the formation energy (no corrections), the calculation gives -1267 meV per atom. The calculation puts the mass density at 5.5 g/cm³.


# 2
Pr5InSe4 | PBE-GGA | relaxed

The space group is I4/m (No. 87) and the conventional cell measures 9.696, 9.696 and 6.108 Å, with angles of 90.00, 90.00 and 90.00 degrees. The distinct sites, in fractional coordinates, are Pr at (0.000, 0.000, 0.000), Pr at (0.100, 0.693, 0.500), In at (0.000, 0.000, 0.500) and Se at (0.103, 0.700, 0.000).

For the formation energy (no corrections), the calculation gives -1565 meV per atom. The calculation puts the mass density at 6.6 g/cm³.


# 3
Pr3In5Se12 | PBE-GGA | relaxed

The space group is Ia-3d (No. 230) and the conventional cell measures 16.726, 16.726 and 16.726 Å, with angles of 90.00, 90.00 and 90.00 degrees. The distinct sites, in fractional coordinates, are Pr at (0.000, 0.250, 0.125), In at (0.000, 0.000, 0.000), In at (0.000, 0.250, 0.375) and Se at (0.022, 0.063, 0.651).

For the formation energy (no corrections), the calculation gives -1012 meV per atom. The calculation puts the mass density at 5.5 g/cm³.


# 4
PrSmIn2Se4 | PBE-GGA | relaxed

The space group is P2/m (No. 10) and the conventional cell measures 7.414, 4.279 and 8.106 Å, with angles of 90.00, 107.72 and 90.00 degrees. The distinct sites, in fractional coordinates, are Pr at (0.000, 0.000, 0.000), Sm at (0.500, 0.500, 0.000), In at (0.000, 0.500, 0.500), In at (0.500, 0.000, 0.500), Se at (0.243, 0.500, 0.216) and Se at (0.267, 0.000, 0.786).

For the formation energy (no corrections), the calculation gives -1290 meV per atom. The calculation puts the mass density at 5.7 g/cm³.


Question: formation energy (no corrections) of number 1 (Pr2InSe4)?
Answer: -1267 meV per atom